1.
SrRhF6 | GGA-PBE | optimized geometry

extended XYZ file:
```
8
Lattice="4.854 0.046 0.056 -0.749 4.798 0.055 -0.749 -0.887 4.716" Properties=species:S:1:pos:R:3 pbc="T T T"
Rh 1.678 1.979 2.414
Sr 0.000 0.000 0.000
F 0.434 2.557 1.032
F 0.434 0.510 2.710
F 2.922 3.447 2.117
F 2.922 1.400 3.795
F 0.902 3.111 3.795
F 2.454 0.847 1.033
```

Output
Formation energy without anion corrections ... -234 kJ/mol of atoms

***

2.
Tb2SmEr5Sc | GGA-PBE | optimized geometry

extended XYZ file:
```
18
Lattice="-2.965 3.444 3.148 6.758 -4.348 6.268 6.727 7.600 -1.981" Properties=species:S:1:pos:R:3 pbc="T T T"
Er 7.097 3.143 8.099
Er 6.394 6.790 3.447
Er 0.327 0.054 0.249
Sc 5.177 4.036 5.313
Sm 5.864 8.521 1.053
Sm 7.415 1.291 5.570
Er 7.896 3.793 3.286
Sc 2.170 -0.926 3.057
Er 2.025 2.225 4.327
Tb 6.145 4.988 0.330
Er 5.082 0.985 3.708
Tb 4.173 1.479 7.166
Er 3.310 5.032 2.465
Er 4.119 -1.829 5.880
Er 0.324 3.436 1.400
Tb 3.293 1.807 1.124
Er 10.044 3.088 6.080
Tb 8.099 5.874 6.055
```

Output
ΔH_f (0 K) ... 0.1683 eV per atom

***

3.
FeCu2 | GGA-PBE | optimized geometry

extended XYZ file:
```
6
Lattice="4.147 0.383 3.917 -5.669 0.430 -0.603 -0.336 -3.456 0.694" Properties=species:S:1:pos:R:3 pbc="T T T"
Cu -0.024 -0.461 2.209
Fe -5.149 -2.166 0.273
Fe 3.291 -0.477 3.735
Cu -3.300 -0.446 0.700
Cu -1.834 -2.181 1.799
Cu 1.442 -2.197 3.308
```

Output
ΔH_f (0 K) ... 0.1153 eV per atom

***

4.
BaRe2Os | GGA-PBE | optimized geometry

extended XYZ file:
```
4
Lattice="0.148 -2.004 4.246 0.428 2.668 3.843 -3.627 0.472 2.947" Properties=species:S:1:pos:R:3 pbc="T T T"
Os -1.526 0.568 5.518
Re -0.763 0.284 2.759
Re -2.289 0.852 8.277
Ba 0.000 0.000 0.000
```

Output
ΔH_f (0 K) ... 1.5948 eV per atom
Energy relative to the lowest polymorph listed for this composition ... 790 meV per atom

***

5.
ErVTc | GGA-PBE | optimized geometry

extended XYZ file:
```
6
Lattice="4.882 0.370 0.000 -2.013 4.463 0.000 -1.435 -2.417 4.957" Properties=species:S:1:pos:R:3 pbc="T T T"
V -1.007 2.232 2.478
Er 2.685 1.675 0.000
Er 0.185 3.159 0.000
V 2.441 0.185 2.478
Tc 0.000 0.000 1.729
Tc 1.435 2.417 3.228
```

Output
ΔH_f (0 K) ... 0.2445 eV per atom
Energy relative to the lowest polymorph listed for this composition ... 269 meV per atom

***

6.
Zn2TeW | GGA-PBE | optimized geometry

extended XYZ file:
```
4
Lattice="-2.015 -3.160 3.334 2.167 0.847 2.112 -2.868 3.363 1.454" Properties=species:S:1:pos:R:3 pbc="T T T"
Zn -0.646 4.119 3.513
Zn -0.405 2.196 1.836
Te -1.183 -0.527 2.558
W -1.533 1.577 4.341
```

Output
Formation energy without anion corrections ... 61 kJ/mol of atoms

***

7.
Sr2BiOsPb | GGA-PBE | optimized geometry

extended XYZ file:
```
5
Lattice="6.218 0.000 0.000 0.000 5.022 0.000 0.000 0.000 6.218" Properties=species:S:1:pos:R:3 pbc="T T T"
Sr 0.000 0.000 3.109
Bi 0.000 0.000 0.000
Os 0.000 2.511 0.000
Sr 3.109 0.000 0.000
Pb 3.109 2.511 3.109
```

Output
ΔH_f (0 K) ... 0.5935 eV per atom

***

8.
SrCdPO2 | GGA-PBE | optimized geometry

extended XYZ file:
```
5
Lattice="4.442 0.000 0.000 0.000 4.442 0.000 0.000 0.000 4.885" Properties=species:S:1:pos:R:3 pbc="T T T"
Cd 0.000 0.000 0.000
O 0.000 2.221 0.000
P 0.000 0.000 2.443
Sr 2.221 2.221 2.443
O 2.221 0.000 0.000
```

Output
Energy relative to the lowest polymorph listed for this composition ... 0 meV per atom
Formation energy without anion corrections ... -41 kJ/mol of atoms

***

9.
TlSnS2N | GGA-PBE | optimized geometry

extended XYZ file:
```
5
Lattice="-0.704 -5.103 -1.140 4.927 -1.032 1.580 -1.426 -0.695 3.992" Properties=species:S:1:pos:R:3 pbc="T T T"
S 2.464 -0.516 0.790
N -0.713 -0.348 1.996
Sn 1.399 -3.415 2.216
S -0.352 -2.552 -0.570
Tl 0.000 0.000 0.000
```

Output
Energy relative to the lowest polymorph listed for this composition ... 426 meV per atom
Formation energy without anion corrections ... 90 kJ/mol of atoms

***

10.
La2SmZn2Ge2 | GGA-PBE | optimized geometry

extended XYZ file:
```
7
Lattice="-3.167 2.722 -0.577 -3.738 -0.699 1.820 1.186 6.743 9.909" Properties=species:S:1:pos:R:3 pbc="T T T"
Zn -3.965 2.459 2.565
Sm 0.000 0.000 0.000
Ge -4.021 7.041 9.094
La -0.073 4.553 6.482
Ge -1.698 1.725 2.058
La -5.646 4.214 4.670
Zn -1.753 6.308 8.587
```

Output
ΔH_f (0 K) ... -0.5120 eV per atom